Material: NdNi4B
Method: DFT, PBE-GGA
State: relaxed

Summary:
For the total DFT energy (no corrections), the calculation gives -6.183 eV per atom. Its formation energy is -0.4212 eV/atom.

Cell lengths 5.0627, 5.0627, 6.9942 Å; angles 90.00, 90.00, 120.00 degrees
Positions (direct):
Nd  0.0000  0.0000  0.0000
Nd  0.0000  0.0000  0.5000
Ni  0.0000  0.5000  0.2062
Ni  0.0000  0.5000  0.7938
Ni  0.3333  0.6667  0.5000
Ni  0.5000  0.0000  0.2062
Ni  0.5000  0.0000  0.7938
Ni  0.5000  0.5000  0.2062
Ni  0.5000  0.5000  0.7938
Ni  0.6667  0.3333  0.5000
B  0.3333  0.6667  0.0000
B  0.6667  0.3333  0.0000

Material: NdNi4B
Method: DFT, PBE-GGA
State: relaxed

Summary:
For the total DFT energy (no corrections), the calculation gives -6.039 eV per atom. Its formation energy is -0.2775 eV/atom.

Cell lengths 6.9923, 3.4455, 6.4825 Å; angles 90.00, 90.00, 90.00 degrees
Positions (direct):
Nd  0.2500  0.0000  0.1021
Nd  0.7500  0.0000  0.8979
Ni  0.0000  0.0000  0.5000
Ni  0.0728  0.5000  0.7716
Ni  0.2500  0.5000  0.4547
Ni  0.4272  0.5000  0.7716
Ni  0.5000  0.0000  0.5000
Ni  0.5728  0.5000  0.2284
Ni  0.7500  0.5000  0.5453
Ni  0.9272  0.5000  0.2284
B  0.2500  0.0000  0.6637
B  0.7500  0.0000  0.3363

Material: NdNi8B4
Method: DFT, PBE-GGA
State: relaxed

Summary:
For the total DFT energy (no corrections), the calculation gives -6.073 eV per atom. Its formation energy is -0.0943 eV/atom.

Cell lengths 5.8790, 5.8790, 5.8790 Å; angles 98.45, 98.45, 134.91 degrees
Positions (direct):
Nd  0.0000  0.0000  0.0000
Ni  0.0000  0.3433  0.3433
Ni  0.0000  0.6567  0.6567
Ni  0.2700  0.5000  0.7700
Ni  0.3433  0.0000  0.3433
Ni  0.5000  0.2700  0.7700
Ni  0.5000  0.7300  0.2300
Ni  0.6567  0.0000  0.6567
Ni  0.7300  0.5000  0.2300
B  0.0000  0.0000  0.5000
B  0.0000  0.5000  0.0000
B  0.5000  0.0000  0.0000
B  0.5000  0.5000  0.5000